# 1
{
  "formula": "AcNdLuAl",
  "functional": "GGA-PBE",
  "state": "optimized geometry",
  "lattice_angstrom": [[5.536, 0.000, 0.000], [2.768, 4.794, 0.000], [2.768, 1.598, 4.520]],
  "species": ["Lu", "Al", "Nd", "Ac"],
  "frac_coords": [[0.000, 0.000, 0.000], [0.250, 0.250, 0.250], [0.500, 0.500, 0.500], [0.750, 0.750, 0.750]],
  "total_magnetization_mub_per_cell": 0.00,
  "formation_enthalpy_0k_ev_per_atom": 0.089,
  "dft_energy_ev_per_atom": -4.1956
}

---

# 2
{
  "formula": "AcLuAlPb",
  "functional": "GGA-PBE",
  "state": "optimized geometry",
  "lattice_angstrom": [[5.505, 0.000, 0.000], [2.753, 4.767, 0.000], [2.753, 1.589, 4.495]],
  "species": ["Al", "Pb", "Ac", "Lu"],
  "frac_coords": [[0.000, 0.000, 0.000], [0.500, 0.500, 0.500], [0.750, 0.750, 0.750], [0.250, 0.250, 0.250]],
  "total_magnetization_mub_per_cell": 0.00,
  "formation_enthalpy_0k_ev_per_atom": -0.251,
  "dft_energy_ev_per_atom": -4.2708
}

---

# 3
{
  "formula": "AcPrLuAl",
  "functional": "GGA-PBE",
  "state": "optimized geometry",
  "lattice_angstrom": [[5.552, 0.000, 0.000], [2.776, 4.808, 0.000], [2.776, 1.603, 4.533]],
  "species": ["Al", "Pr", "Ac", "Lu"],
  "frac_coords": [[0.250, 0.250, 0.250], [0.000, 0.000, 0.000], [0.750, 0.750, 0.750], [0.500, 0.500, 0.500]],
  "total_magnetization_mub_per_cell": 0.00,
  "formation_enthalpy_0k_ev_per_atom": 0.088,
  "dft_energy_ev_per_atom": -4.1996
}

---

# 4
{
  "formula": "AcLuScAl",
  "functional": "GGA-PBE",
  "state": "optimized geometry",
  "lattice_angstrom": [[-2.768, -1.456, 4.407], [-4.027, -3.582, -0.399], [0.591, -4.968, 2.043]],
  "species": ["Sc", "Al", "Lu", "Ac"],
  "frac_coords": [[0.000, 0.000, 0.000], [0.500, 0.500, 0.500], [0.250, 0.250, 0.250], [0.750, 0.750, 0.750]],
  "total_magnetization_mub_per_cell": 0.87,
  "formation_enthalpy_0k_ev_per_atom": -0.009,
  "dft_energy_ev_per_atom": -4.6846
}

---

# 5
{
  "formula": "AcLuThAl",
  "functional": "GGA-PBE",
  "state": "optimized geometry",
  "lattice_angstrom": [[-0.349, -4.252, 3.565], [-3.254, -4.353, -1.175], [2.277, -4.905, -1.292]],
  "species": ["Th", "Lu", "Al", "Ac"],
  "frac_coords": [[0.500, 0.500, 0.500], [0.750, 0.750, 0.750], [0.250, 0.250, 0.250], [0.000, 0.000, 0.000]],
  "total_magnetization_mub_per_cell": 0.00,
  "formation_enthalpy_0k_ev_per_atom": 0.063,
  "dft_energy_ev_per_atom": -4.8845
}

---

# 6
{
  "formula": "AcYLuAl",
  "functional": "GGA-PBE",
  "state": "optimized geometry",
  "lattice_angstrom": [[5.491, 0.000, 0.000], [2.745, 4.755, 0.000], [2.745, 1.585, 4.483]],
  "species": ["Ac", "Al", "Y", "Lu"],
  "frac_coords": [[0.750, 0.750, 0.750], [0.250, 0.250, 0.250], [0.000, 0.000, 0.000], [0.500, 0.500, 0.500]],
  "total_magnetization_mub_per_cell": 0.73,
  "formation_enthalpy_0k_ev_per_atom": 0.105,
  "dft_energy_ev_per_atom": -4.6038
}

---

# 7
{
  "formula": "AcLuAlZn",
  "functional": "GGA-PBE",
  "state": "optimized geometry",
  "lattice_angstrom": [[-4.983, 1.042, 1.514], [-4.005, -0.631, -3.430], [-3.461, -3.974, 0.660]],
  "species": ["Lu", "Zn", "Al", "Ac"],
  "frac_coords": [[0.750, 0.750, 0.750], [0.000, 0.000, 0.000], [0.500, 0.500, 0.500], [0.250, 0.250, 0.250]],
  "total_magnetization_mub_per_cell": 0.00,
  "formation_enthalpy_0k_ev_per_atom": -0.237,
  "dft_energy_ev_per_atom": -3.6482
}

---

# 8
{
  "formula": "AcMg2Al",
  "functional": "GGA-PBE",
  "state": "optimized geometry",
  "lattice_angstrom": [[-3.972, 4.286, 2.317], [-4.881, -5.578, 1.951], [8.020, -1.341, 16.230]],
  "species": ["Ac", "Ac", "Ac", "Ac", "Ac", "Ac", "Ac", "Ac", "Mg", "Mg", "Mg", "Mg", "Mg", "Mg", "Mg", "Mg", "Mg", "Mg", "Mg", "Mg", "Mg", "Mg", "Mg", "Mg", "Al", "Al", "Al", "Al", "Al", "Al", "Al", "Al"],
  "frac_coords": [[0.478, 0.250, 0.147], [0.978, 0.750, 0.353], [0.721, 0.250, 0.396], [0.221, 0.750, 0.104], [0.779, 0.250, 0.896], [0.279, 0.750, 0.604], [0.022, 0.250, 0.647], [0.522, 0.750, 0.853], [0.267, 0.056, 0.966], [0.733, 0.556, 0.034], [0.540, 0.443, 0.716], [0.040, 0.943, 0.784], [0.960, 0.443, 0.216], [0.233, 0.444, 0.466], [0.460, 0.943, 0.284], [0.540, 0.057, 0.716], [0.267, 0.444, 0.966], [0.960, 0.057, 0.216], [0.460, 0.557, 0.284], [0.040, 0.557, 0.784], [0.767, 0.944, 0.534], [0.767, 0.556, 0.534], [0.233, 0.056, 0.466], [0.733, 0.944, 0.034], [0.509, 0.250, 0.574], [0.786, 0.750, 0.674], [0.714, 0.750, 0.174], [0.991, 0.250, 0.074], [0.491, 0.750, 0.426], [0.286, 0.250, 0.826], [0.214, 0.250, 0.326], [0.009, 0.750, 0.926]],
  "total_magnetization_mub_per_cell": 0.00,
  "formation_enthalpy_0k_ev_per_atom": -0.156,
  "dft_energy_ev_per_atom": -2.9165
}